(1)
First-principles (GGA-PBE) data for crystalline Dy3Ru2 at its relaxed geometry, as listed in the Alexandria database.

Energy relative to the elements in eV/atom: -0.281

Cell: 7.6159 7.6159 4.7077 Å, 90.00 90.00 120.00°
Closest atoms and distances in Å follow each position.
Element x y z (fractional)
Dy: 0.3054 0.3838 0.2500  5 Ru 2.92-3.13
Dy: 0.0784 0.6946 0.2500  5 Ru 2.92-3.13
Dy: 0.3838 0.0784 0.7500  5 Ru 2.92-3.13
Dy: 0.6946 0.6162 0.7500  5 Ru 2.92-3.13
Dy: 0.6162 0.9216 0.2500  5 Ru 2.92-3.13
Dy: 0.9216 0.3054 0.7500  5 Ru 2.92-3.13
Ru: 0.6667 0.3333 0.2500  9 Dy 2.96-3.13
Ru: 0.0000 0.0000 0.5000  2 Ru 2.35
Ru: 0.3333 0.6667 0.7500  9 Dy 2.96-3.13
Ru: 0.0000 0.0000 0.0000  2 Ru 2.35


(2)
First-principles (GGA-PBE) data for crystalline Dy3Ru2 at its relaxed geometry, as listed in the Alexandria database.

Energy relative to the elements in eV/atom: -0.260

Cell: 4.8197 7.5382 10.1569 Å, 89.62 90.00 108.64°
Closest atoms and distances in Å follow each position.
Element x y z (fractional)
Dy: 0.8318 0.6635 0.6696  6 Ru 2.91-2.94
Dy: 0.1682 0.3365 0.3304  6 Ru 2.91-2.94
Dy: 0.5000 0.0000 0.0000  6 Ru 2.92-2.93
Dy: 0.8364 0.6729 0.3348  5 Ru 2.89-2.99
Dy: 0.5007 0.0014 0.6650  5 Ru 2.90-2.97
Dy: 0.1636 0.3271 0.6652  5 Ru 2.89-2.99
Dy: 0.8318 0.6635 0.0047  5 Ru 2.90-2.98
Dy: 0.4993 0.9986 0.3350  5 Ru 2.90-2.97
Dy: 0.1682 0.3365 0.9953  5 Ru 2.90-2.98
Ru: 0.3309 0.6618 0.5034  8 Dy 2.89-2.96
Ru: 0.0028 0.0055 0.1643  8 Dy 2.91-2.97
Ru: 0.9972 0.9945 0.8357  8 Dy 2.91-2.97
Ru: 0.6691 0.3382 0.4966  8 Dy 2.89-2.96
Ru: 0.6649 0.3297 0.1682  8 Dy 2.90-2.99
Ru: 0.3351 0.6703 0.8318  8 Dy 2.90-2.99


(3)
First-principles (GGA-PBE) data for crystalline Dy7RuS5 at its relaxed geometry, as listed in the Alexandria database.

Uncorrected formation energy in eV per atom: -1.605

Cell: 3.8460 6.7212 23.5936 Å, 90.00 90.00 106.66°
Closest atoms and distances in Å follow each position.
Element x y z (fractional)
Dy: 0.4634 0.9257 0.2492  2 Ru 2.76-2.77, 2 S 2.82-2.83
Dy: 0.1919 0.3824 0.3203  3 S 2.76-2.84, 2 Ru 2.87
Dy: 0.8086 0.6186 0.8203  3 S 2.76-2.84, 2 Ru 2.87
Dy: 0.2045 0.4080 0.1793  3 S 2.74-2.83, 2 Ru 2.99
Dy: 0.0820 0.1650 0.6090  5 S 2.74-2.86
Dy: 0.6327 0.2650 0.4653  6 S 2.72-2.76
Dy: 0.3541 0.7086 0.5370  6 S 2.71-2.77
Dy: 0.6465 0.2926 0.0370  6 S 2.71-2.77
Dy: 0.9002 0.7993 0.3822  5 S 2.75-2.98
Dy: 0.5371 0.0754 0.7492  2 Ru 2.76-2.77, 2 S 2.82-2.83
Dy: 0.3679 0.7362 0.9653  6 S 2.72-2.76
Dy: 0.1003 0.2018 0.8822  5 S 2.75-2.98
Dy: 0.7961 0.5931 0.6793  3 S 2.74-2.83, 2 Ru 2.99
Dy: 0.9186 0.8362 0.1090  5 S 2.74-2.86
Ru: 0.1907 0.3824 0.7574  6 Dy 2.76-2.99
Ru: 0.8098 0.6187 0.2574  6 Dy 2.76-2.99
S: 0.5471 0.0928 0.3600  6 Dy 2.72-2.84
S: 0.0091 0.0183 0.9983  6 Dy 2.76-2.98
S: 0.7304 0.4616 0.9292  6 Dy 2.75-2.78
S: 0.2831 0.5657 0.0715  6 Dy 2.73-2.74
S: 0.4535 0.9083 0.8600  6 Dy 2.72-2.84
S: 0.9914 0.9829 0.4983  6 Dy 2.76-2.98
S: 0.2702 0.5395 0.4292  6 Dy 2.75-2.78
S: 0.4415 0.8846 0.6415  6 Dy 2.71-2.83
S: 0.7175 0.4355 0.5715  6 Dy 2.73-2.74
S: 0.5591 0.1165 0.1415  6 Dy 2.71-2.83


(4)
First-principles (GGA-PBE) data for crystalline DySbRu2 at its relaxed geometry, as listed in the Alexandria database.

Uncorrected formation energy in eV per atom: -0.376

Cell: 3.4446 4.5630 4.5630 Å, 90.00 90.00 90.00°
Closest atoms and distances in Å follow each position.
Element x y z (fractional)
Sb: 0.5000 0.0000 0.0000  8 Ru 2.86
Dy: 0.5000 0.5000 0.5000  8 Ru 2.86
Ru: 0.0000 0.5000 0.0000  4 Dy 2.86, 4 Sb 2.86
Ru: 0.0000 0.0000 0.5000  4 Dy 2.86, 4 Sb 2.86